[1]
This record from OQMD describes a relaxed CsPaGe crystal. The functional is PBE.

a = 7.4528 Å, b = 7.4528 Å, c = 7.4528 Å
α = 90.00°, β = 90.00°, γ = 90.00°
Element x y z (fractional)
Cs: 0.0000 0.0000 0.0000
Cs: 0.0000 0.5000 0.5000
Cs: 0.5000 0.0000 0.5000
Cs: 0.5000 0.5000 0.0000
Pa: 0.0000 0.0000 0.5000
Pa: 0.0000 0.5000 0.0000
Pa: 0.5000 0.0000 0.0000
Pa: 0.5000 0.5000 0.5000
Ge: 0.2500 0.2500 0.2500
Ge: 0.2500 0.7500 0.7500
Ge: 0.7500 0.2500 0.7500
Ge: 0.7500 0.7500 0.2500

Output
Theoretical density   7.0 Mg/m³
Symmetry   F-43m
Crystal system   cubic
Spin magnetization   0.66 μB/atom
Total DFT energy (no corrections)   -4.03 eV per atom



[2]
This record from OQMD describes a relaxed NaTmZnS3 crystal. The functional is PBE.

a = 7.9475 Å, b = 3.9038 Å, c = 9.5144 Å
α = 90.00°, β = 105.48°, γ = 90.00°
Element x y z (fractional)
Na: 0.1906 0.2500 0.1831
Na: 0.8094 0.7500 0.8169
Tm: 0.3293 0.7500 0.8535
Tm: 0.6707 0.2500 0.1465
Zn: 0.0797 0.2500 0.6053
Zn: 0.9203 0.7500 0.3947
S: 0.0889 0.2500 0.8513
S: 0.2190 0.7500 0.5453
S: 0.4391 0.7500 0.1465
S: 0.5609 0.2500 0.8535
S: 0.7810 0.2500 0.4547
S: 0.9111 0.7500 0.1487

Output
Theoretical density   4.1 Mg/m³
Symmetry   P2_1/m
Crystal system   monoclinic
Spin magnetization   0.00 μB/atom
Total DFT energy (no corrections)   -4.66 eV per atom



[3]
This record from OQMD describes a relaxed SmZn3PdAu crystal. The functional is PBE.

a = 5.3482 Å, b = 5.3482 Å, c = 4.4118 Å
α = 90.00°, β = 90.00°, γ = 120.00°
Element x y z (fractional)
Sm: 0.0000 0.0000 0.0000
Zn: 0.5028 0.0056 0.5000
Zn: 0.5028 0.4972 0.5000
Zn: 0.9944 0.4972 0.5000
Pd: 0.6667 0.3333 0.0000
Au: 0.3333 0.6667 0.0000

Output
ΔE_f   -0.5700 eV per atom
Theoretical density   9.9 Mg/m³
Symmetry   P-6m2
Crystal system   hexagonal
Spin magnetization   0.00 μB/atom
Total DFT energy (no corrections)   -3.39 eV per atom